1.
Compound: CePt
Source: Alexandria via LeMat-Bulk
Functional: GGA-PBEsol
Structure: relaxed

Cell and atoms, written as extended XYZ:
```
4
Lattice="-0.703 -1.224 3.517 4.197 0.430 0.988 -0.552 5.744 -0.152" Properties=species:S:1:pos:R:3 pbc="T T T"
Pt 2.415 4.487 2.044
Pt 0.528 0.463 2.308
Ce 0.041 3.224 3.172
Ce 2.901 1.726 1.180
```

Properties
As for the total magnetization: 0.43 μB per formula unit. As for the electronic total energy: -15.49 eV per formula unit. The formation energy comes out at -0.966 eV/atom. The calculation puts the calculated volume at 89.5 Å³/cell.



2.
Compound: Ce3Sb4Pt3
Source: Alexandria via LeMat-Bulk
Functional: GGA-PBEsol
Structure: relaxed

Cell and atoms, written as extended XYZ:
```
20
Lattice="-5.221 6.464 -1.312 -4.124 -7.228 -1.227 2.880 0.280 7.899" Properties=species:S:1:pos:R:3 pbc="T T T"
Ce -3.114 -4.534 3.535
Ce -4.089 1.399 0.695
Ce -0.604 -0.894 2.491
Ce -3.973 0.575 5.161
Ce -2.924 4.962 4.623
Ce -4.691 -2.962 -0.425
Pt -2.492 -1.060 0.199
Pt -3.351 4.049 1.825
Pt -5.861 0.410 2.869
Pt -3.541 -5.447 0.737
Pt -2.375 -1.884 4.665
Pt -1.774 2.478 5.785
Sb -1.879 2.130 3.083
Sb -0.127 -3.426 4.693
Sb -0.682 -0.019 5.708
Sb -0.897 1.111 -0.225
Sb -3.507 4.343 -0.881
Sb -1.567 -3.566 0.744
Sb -6.794 -0.541 0.490
Sb -3.941 -1.484 2.469
```

Properties
As for the total magnetization: 0.42 μB per formula unit. The calculation puts the raw formation energy at -1060 meV per atom. As for the electronic total energy: -69.50 eV per formula unit. The calculation puts the calculated volume at 458.2 Å³/cell.



3.
Compound: CeSi2Pt
Source: Alexandria via LeMat-Bulk
Functional: GGA-PBEsol
Structure: relaxed

Cell and atoms, written as extended XYZ:
```
8
Lattice="4.192 0.000 0.000 0.000 4.205 0.000 0.000 2.103 8.268" Properties=species:S:1:pos:R:3 pbc="T T T"
Si 1.048 2.103 7.698
Si 3.144 4.205 0.570
Si 1.048 4.205 4.145
Si 3.144 2.103 4.123
Ce 1.048 2.103 1.705
Ce 3.144 4.205 6.563
Pt 1.048 2.103 5.318
Pt 3.144 4.205 2.950
```

Properties
As for the total magnetization: 0.26 μB per formula unit. The calculation puts the raw formation energy at -1023 meV per atom. As for the electronic total energy: -29.15 eV per formula unit. The calculation puts the calculated volume at 145.8 Å³/cell.



4.
Compound: CeSi2Pt2
Source: Alexandria via LeMat-Bulk
Functional: GGA-PBEsol
Structure: relaxed

Cell and atoms, written as extended XYZ:
```
5
Lattice="-3.907 0.390 1.263 -1.266 0.029 -3.926 2.126 -5.200 1.444" Properties=species:S:1:pos:R:3 pbc="T T T"
Si -0.354 -3.830 0.086
Si -2.694 -0.952 -1.305
Pt -0.864 -2.481 -1.907
Pt -2.184 -2.301 0.688
Ce 0.000 0.000 0.000
```

Properties
As for the total magnetization: 0.01 μB per formula unit. The calculation puts the raw formation energy at -1027 meV per atom. As for the electronic total energy: -37.15 eV per formula unit. The calculation puts the calculated volume at 85.3 Å³/cell.



5.
Compound: CeSi2Pt2
Source: Alexandria via LeMat-Bulk
Functional: GGA-PBEsol
Structure: relaxed

Cell and atoms, written as extended XYZ:
```
10
Lattice="-4.099 -0.456 -0.808 -0.494 -2.024 3.650 -1.819 8.463 4.448" Properties=species:S:1:pos:R:3 pbc="T T T"
Pt -2.297 -1.240 1.421
Pt -2.737 2.972 1.278
Pt -1.378 4.251 4.591
Pt 0.000 0.000 0.000
Si -3.206 2.991 3.645
Si -1.824 6.325 5.681
Si -2.292 0.898 0.187
Si -0.909 4.232 2.224
Ce -0.707 1.128 2.950
Ce -3.409 6.095 2.919
```

Properties
As for the total magnetization: 0.03 μB per formula unit. The calculation puts the raw formation energy at -1125 meV per atom. As for the electronic total energy: -37.64 eV per formula unit. The calculation puts the calculated volume at 171.9 Å³/cell.



6.
Compound: CeSi3Pt
Source: Alexandria via LeMat-Bulk
Functional: GGA-PBEsol
Structure: relaxed

Cell and atoms, written as extended XYZ:
```
5
Lattice="-1.134 -4.076 -0.442 4.093 -1.100 -0.357 -1.224 2.004 5.131" Properties=species:S:1:pos:R:3 pbc="T T T"
Si 1.734 -3.171 4.320
Si 2.116 -0.708 1.101
Si -0.498 -2.196 1.058
Ce 0.205 -0.468 3.795
Pt 1.607 -2.880 1.966
```

Properties
As for the total magnetization: 0.47 μB per formula unit. The calculation puts the raw formation energy at -847 meV per atom. As for the electronic total energy: -35.03 eV per formula unit. The calculation puts the calculated volume at 86.4 Å³/cell.



7.
Compound: Ce4Sn25Pt12
Source: Alexandria via LeMat-Bulk
Functional: GGA-PBEsol
Structure: relaxed

Cell and atoms, written as extended XYZ:
```
41
Lattice="10.611 0.000 0.000 -3.537 10.004 0.000 -3.537 -5.002 8.664" Properties=species:S:1:pos:R:3 pbc="T T T"
Sn 6.189 -2.530 6.514
Sn -4.448 3.145 7.580
Sn -3.487 0.670 5.430
Sn 2.626 -0.010 2.150
Sn -0.911 -3.135 7.598
Sn 0.000 0.000 0.000
Sn -1.794 3.064 5.430
Sn 0.911 5.012 6.514
Sn 4.448 8.137 1.066
Sn 0.050 -0.035 6.529
Sn 5.331 1.938 3.234
Sn 1.794 6.234 0.061
Sn 1.743 -1.232 8.602
Sn -0.050 5.637 3.295
Sn -0.885 0.626 3.216
Sn 3.587 -0.635 5.368
Sn 4.422 4.376 5.448
Sn 5.280 -1.832 3.295
Sn -2.652 7.532 2.150
Sn 2.652 1.904 7.598
Sn 3.487 5.037 2.134
Sn 7.985 1.857 1.084
Sn 0.885 3.098 1.066
Sn 7.024 4.332 3.234
Sn -1.743 6.834 5.368
Pt 0.092 2.638 7.216
Pt 7.166 -0.072 2.771
Pt 3.629 -2.566 7.341
Pt 5.994 5.968 1.448
Pt 4.617 1.730 5.893
Pt 3.445 2.364 1.448
Pt -1.080 3.272 2.771
Pt -0.092 7.568 1.323
Pt 2.457 5.766 4.445
Pt -2.457 -0.966 7.216
Pt -3.629 5.074 5.893
Pt 1.080 -0.764 4.219
Ce 5.305 0.000 0.000
Ce -1.768 -2.501 4.332
Ce 1.768 2.501 4.332
Ce -1.768 5.002 0.000
```

Properties
As for the total magnetization: 2.76 μB per formula unit. As for the electronic total energy: -239.85 eV per formula unit. The formation energy comes out at -0.571 eV/atom. The calculation puts the calculated volume at 919.7 Å³/cell.



8.
Compound: CeZnPt
Source: Alexandria via LeMat-Bulk
Functional: GGA-PBEsol
Structure: relaxed

Cell and atoms, written as extended XYZ:
```
12
Lattice="-0.413 4.235 0.700 -6.538 -0.883 1.485 1.880 -1.080 7.637" Properties=species:S:1:pos:R:3 pbc="T T T"
Ce -6.071 1.992 4.286
Ce -2.066 -0.279 7.105
Ce 1.000 0.279 5.536
Ce -3.005 2.551 2.717
Zn -4.110 1.418 8.912
Zn -0.961 0.853 0.911
Zn -3.542 0.017 4.448
Zn -1.529 2.255 5.375
Pt -4.841 0.272 2.138
Pt -1.045 0.411 3.534
Pt -4.027 1.860 6.288
Pt -0.231 1.999 7.684
```

Properties
As for the total magnetization: 0.27 μB per formula unit. As for the electronic total energy: -17.54 eV per formula unit. The formation energy comes out at -0.800 eV/atom. The calculation puts the calculated volume at 231.5 Å³/cell.



Repeat the fifth record exactly.
Compound: CeSi2Pt2
Source: Alexandria via LeMat-Bulk
Functional: GGA-PBEsol
Structure: relaxed

Cell and atoms, written as extended XYZ:
```
10
Lattice="-4.099 -0.456 -0.808 -0.494 -2.024 3.650 -1.819 8.463 4.448" Properties=species:S:1:pos:R:3 pbc="T T T"
Pt -2.297 -1.240 1.421
Pt -2.737 2.972 1.278
Pt -1.378 4.251 4.591
Pt 0.000 0.000 0.000
Si -3.206 2.991 3.645
Si -1.824 6.325 5.681
Si -2.292 0.898 0.187
Si -0.909 4.232 2.224
Ce -0.707 1.128 2.950
Ce -3.409 6.095 2.919
```

Properties
As for the total magnetization: 0.03 μB per formula unit. The calculation puts the raw formation energy at -1125 meV per atom. As for the electronic total energy: -37.64 eV per formula unit. The calculation puts the calculated volume at 171.9 Å³/cell.



Question: Among the records above, which one has the lowest electronic total energy?
Answer: Ce4Sn25Pt12



Question: calculated volume of number 6 (CeSi3Pt)?
Answer: 86.4 Å³/cell



Please write out number 1 again, unchanged.
Compound: CePt
Source: Alexandria via LeMat-Bulk
Functional: GGA-PBEsol
Structure: relaxed

Cell and atoms, written as extended XYZ:
```
4
Lattice="-0.703 -1.224 3.517 4.197 0.430 0.988 -0.552 5.744 -0.152" Properties=species:S:1:pos:R:3 pbc="T T T"
Pt 2.415 4.487 2.044
Pt 0.528 0.463 2.308
Ce 0.041 3.224 3.172
Ce 2.901 1.726 1.180
```

Properties
As for the total magnetization: 0.43 μB per formula unit. As for the electronic total energy: -15.49 eV per formula unit. The formation energy comes out at -0.966 eV/atom. The calculation puts the calculated volume at 89.5 Å³/cell.